# Ti2Mn2H

Ti2Mn2H after structural relaxation (GGA-PBE, the Alexandria database).

Calculated values
* uncorrected energy: -0.469 Ry per atom
* polymorph energy (0 for the lowest one): 775 meV/atom
* volume: 16.5 Å³ per atom
* symmetry: I4/mmm, No. 139

Lattice parameters (Å, degrees): 3.764 3.764 11.635 90.00 90.00 90.00
Fractional positions:
1 Ti 0.000 0.500 0.250
2 Ti 0.000 0.500 0.750
3 Ti 0.500 0.000 0.250
4 Ti 0.500 0.000 0.750
5 Mn 0.000 0.000 0.102
6 Mn 0.000 0.000 0.898
7 Mn 0.500 0.500 0.398
8 Mn 0.500 0.500 0.602
9 H 0.000 0.000 0.500
10 H 0.500 0.500 0.000